AgPtW2: optimized geometry, PBE.

The structure belongs to space group Fm-3m (No. 225); the cell edges are 6.400, 6.400 and 6.400 Å and the angles 90.00°, 90.00° and 90.00°. Symmetry generates all atoms from Ag at (0.000, 0.000, 0.000), Pt at (0.000, 0.000, 0.500) and W at (0.250, 0.250, 0.250).

As for the crystal system: cubic. As for the formation energy: 0.75 eV per atom. The energy relative to the lowest polymorph listed for this composition comes out at 618 meV/atom.

SeBr: optimized geometry, PBE.

The structure belongs to space group Immm (No. 71); the cell edges are 3.222, 5.089 and 7.480 Å and the angles 90.00°, 90.00° and 90.00°. Symmetry generates all atoms from Se at (0.000, 0.000, 0.000) and Br at (0.000, 0.500, 0.000).

As for the crystal system: orthorhombic.

Rb2SmScSe4: optimized geometry, PBE.

The structure belongs to space group P2/m (No. 10); the cell edges are 7.258, 4.193 and 8.330 Å and the angles 90.00°, 106.86° and 90.00°. Symmetry generates all atoms from Rb at (0.000, 0.000, 0.000), Rb at (0.500, 0.500, 0.000), Sm at (0.000, 0.500, 0.500), Sc at (0.500, 0.000, 0.500), Se at (0.247, 0.000, 0.696) and Se at (0.285, 0.500, 0.311).

As for the crystal system: monoclinic.

Ba2TaHgOs: optimized geometry, PBE.

The structure belongs to space group P4/mmm (No. 123); the cell edges are 6.003, 6.003 and 5.225 Å and the angles 90.00°, 90.00° and 90.00°. Symmetry generates all atoms from Ba at (0.000, 0.500, 0.000), Ta at (0.000, 0.000, 0.000), Hg at (0.000, 0.000, 0.500) and Os at (0.500, 0.500, 0.500).

As for the crystal system: tetragonal. As for the formation energy: 1.79 eV per atom.

Number 1: E_tot -7.946 eV/atom. Number 2: E_tot -2.251 eV/atom. Number 3: E_tot -5.013 eV/atom. Number 4: E_tot -3.655 eV/atom.